[1]
Here is CePmNd2 after structural relaxation from Alexandria via LeMat-Bulk. Energies are from PBE.

Geometry as POSCAR:
```
CePmNd2
1.0
3.503 0.000 0.000
1.751 3.033 0.000
1.751 1.011 12.658
Nd Ce Pm
2 1 1
direct
0.087 0.087 0.738
0.913 0.913 0.262
0.000 0.000 0.000
0.500 0.500 0.500
```

## Properties
volume: 134.5 Å³/cell
ΔE to the lowest computed polymorph: 0.53 eV/f.u.
symmetry: R-3m (166)
total energy: -19.4 eV per cell

***

[2]
Here is CePmNd14 after structural relaxation from Alexandria via LeMat-Bulk. Energies are from PBE.

Geometry as POSCAR:
```
CePmNd14
1.0
-0.162 -5.622 4.717
4.029 -4.011 -4.644
8.690 3.523 4.498
Pm Nd Ce
1 14 1
direct
0.375 0.625 0.000
0.627 0.877 0.248
0.123 0.877 0.752
0.875 0.625 0.000
0.123 0.373 0.248
0.375 0.125 0.000
0.875 0.625 0.500
0.875 0.125 0.500
0.123 0.373 0.752
0.123 0.877 0.248
0.627 0.877 0.752
0.375 0.625 0.500
0.627 0.373 0.248
0.627 0.373 0.752
0.375 0.125 0.500
0.875 0.125 0.000
```

## Properties
volume: 560.5 Å³/cell
symmetry: P4/mmm (123)
total energy: -76.9 eV per cell

***

[3]
Here is CePmNd2 after structural relaxation from Alexandria via LeMat-Bulk. Energies are from PBE.

Geometry as POSCAR:
```
CePmNd2
1.0
-2.606 -2.186 1.258
0.845 -2.735 2.226
-2.059 5.456 10.439
Nd Ce Pm
2 1 1
direct
0.081 0.081 0.757
0.252 0.252 0.243
0.667 0.667 0.000
0.500 0.500 0.500
```

## Properties
volume: 134.1 Å³/cell
ΔE to the lowest computed polymorph: 0.00 eV/f.u.
symmetry: R3m (160)
total energy: -20.0 eV per cell

***

[4]
Here is CePmNd after structural relaxation from Alexandria via LeMat-Bulk. Energies are from PBE.

Geometry as POSCAR:
```
CePmNd
1.0
-5.388 -3.138 1.407
0.586 -0.046 -4.180
-0.590 -8.415 10.659
Ce Nd Pm
2 2 2
direct
0.675 0.272 0.542
0.361 0.780 0.608
0.207 0.535 0.341
0.829 0.516 0.810
0.282 0.174 0.982
0.754 0.877 0.169
```

## Properties
volume: 197.0 Å³/cell
ΔE to the lowest computed polymorph: 0.11 eV/f.u.
symmetry: C2/m (12)
total energy: -30.3 eV per cell

***

[5]
Here is CePmNd3 after structural relaxation from Alexandria via LeMat-Bulk. Energies are from PBE.

Geometry as POSCAR:
```
CePmNd3
1.0
-3.513 -0.615 -5.865
7.197 -7.161 -4.432
-0.711 -11.032 0.711
Ce Nd Pm
4 12 4
direct
0.696 0.509 0.009
0.804 0.991 0.491
0.196 0.009 0.509
0.304 0.491 0.991
0.487 0.107 0.209
0.513 0.291 0.393
0.884 0.167 0.667
0.487 0.709 0.607
0.384 0.667 0.167
0.513 0.893 0.791
0.116 0.833 0.333
0.987 0.607 0.709
0.013 0.393 0.291
0.013 0.791 0.893
0.987 0.209 0.107
0.616 0.333 0.833
0.750 0.567 0.433
0.750 0.933 0.067
0.250 0.067 0.933
0.250 0.433 0.567
```

## Properties
volume: 686.4 Å³/cell
symmetry: C2/m (12)
total energy: -96.8 eV per cell

***

[6]
Here is CePm2Nd9 after structural relaxation from Alexandria via LeMat-Bulk. Energies are from PBE.

Geometry as POSCAR:
```
CePm2Nd9
1.0
-0.349 4.836 1.832
-1.703 -1.842 4.536
14.634 -0.888 5.133
Nd Pm Ce
9 2 1
direct
0.500 0.000 0.836
0.000 0.500 0.164
0.500 0.000 0.500
0.000 0.500 0.500
0.000 0.500 0.836
0.500 0.500 0.000
0.500 0.500 0.333
0.500 0.500 0.667
0.500 0.000 0.164
0.000 0.000 0.668
0.000 0.000 0.332
0.000 0.000 0.000
```

## Properties
volume: 417.3 Å³/cell
symmetry: P4/mmm (123)
total energy: -57.9 eV per cell

***

[7]
Here is CePm12Nd7 after structural relaxation from Alexandria via LeMat-Bulk. Energies are from PBE.

Geometry as POSCAR:
```
CePm12Nd7
1.0
-8.783 -1.412 -1.162
2.877 -8.494 -0.234
0.096 1.319 8.873
Nd Pm Ce
7 12 1
direct
0.338 0.907 0.907
0.500 0.500 0.500
0.662 0.093 0.093
0.093 0.662 0.093
0.907 0.907 0.338
0.093 0.093 0.662
0.907 0.338 0.907
0.353 0.353 0.087
0.087 0.353 0.353
0.500 0.759 0.241
0.913 0.647 0.647
0.647 0.647 0.913
0.759 0.241 0.500
0.500 0.241 0.759
0.241 0.759 0.500
0.241 0.500 0.759
0.759 0.500 0.241
0.647 0.913 0.647
0.353 0.087 0.353
0.000 0.000 0.000
```

## Properties
volume: 689.9 Å³/cell
symmetry: R-3m (166)
total energy: -94.4 eV per cell

***

[8]
Here is CePm2Nd6 after structural relaxation from Alexandria via LeMat-Bulk. Energies are from PBE.

Geometry as POSCAR:
```
CePm2Nd6
1.0
7.100 0.000 0.000
0.000 7.220 -5.264
0.000 -4.029 15.251
Nd Pm Ce
12 4 2
direct
0.500 0.252 0.663
0.738 0.763 0.560
0.262 0.237 0.440
0.238 0.737 0.940
0.738 0.237 0.440
0.762 0.737 0.940
0.000 0.752 0.163
0.762 0.263 0.060
0.238 0.263 0.060
0.000 0.248 0.837
0.500 0.748 0.337
0.262 0.763 0.560
0.000 0.685 0.723
0.500 0.815 0.777
0.000 0.315 0.277
0.500 0.185 0.223
0.500 0.500 0.000
0.000 0.000 0.500
```

## Properties
volume: 631.2 Å³/cell
symmetry: C2/m (12)
total energy: -85.4 eV per cell

***

[9]
Here is CePm5Nd8 after structural relaxation from Alexandria via LeMat-Bulk. Energies are from PBE.

Geometry as POSCAR:
```
CePm5Nd8
1.0
3.649 -2.513 -7.393
3.866 -4.646 6.144
-8.520 -1.299 -0.068
Pm Ce Nd
5 1 8
direct
0.281 0.180 0.316
0.034 0.719 0.899
0.500 0.500 0.000
0.820 0.135 0.101
0.865 0.966 0.684
0.250 0.750 0.500
0.676 0.279 0.747
0.179 0.445 0.115
0.721 0.468 0.397
0.072 0.324 0.603
0.330 0.063 0.885
0.532 0.928 0.253
0.937 0.821 0.266
0.555 0.670 0.734
```

## Properties
volume: 490.9 Å³/cell
symmetry: I-4 (82)
total energy: -64.5 eV per cell

***

[10]
Here is CePm3Nd6 after structural relaxation from Alexandria via LeMat-Bulk. Energies are from PBE.

Geometry as POSCAR:
```
CePm3Nd6
1.0
0.228 -8.990 4.550
3.895 -7.971 -4.782
4.917 -4.813 1.407
Nd Ce Pm
6 1 3
direct
0.220 0.900 0.299
0.076 0.400 0.799
0.725 0.076 0.799
0.581 0.220 0.299
0.400 0.725 0.799
0.900 0.581 0.299
0.900 0.900 0.301
0.655 0.655 0.035
0.400 0.400 0.801
0.144 0.144 0.567
```

## Properties
volume: 345.9 Å³/cell
symmetry: R3 (146)
total energy: -46.5 eV per cell

***

[11]
Here is CePmNd2 after structural relaxation from Alexandria via LeMat-Bulk. Energies are from PBE.

Geometry as POSCAR:
```
CePmNd2
1.0
-2.742 0.635 -4.289
1.485 -4.632 -1.635
-4.075 -2.115 2.292
Nd Pm Ce
2 1 1
direct
0.000 0.500 0.000
0.000 0.000 0.500
0.500 0.500 0.500
0.500 0.000 0.000
```

## Properties
volume: 135.1 Å³/cell
ΔE to the lowest computed polymorph: 0.07 eV/f.u.
symmetry: P4/mmm (123)
total energy: -19.9 eV per cell

***

[12]
Here is CePm12Nd2 after structural relaxation from Alexandria via LeMat-Bulk. Energies are from PBE.

Geometry as POSCAR:
```
CePm12Nd2
1.0
-6.349 0.568 1.598
-1.123 -6.047 -2.315
4.906 -9.694 22.943
Nd Ce Pm
4 2 24
direct
0.000 0.500 0.267
0.500 0.000 0.267
0.000 0.500 0.733
0.500 0.000 0.733
0.000 0.500 0.000
0.500 0.000 0.000
0.168 0.332 0.438
0.000 0.000 0.214
0.314 0.186 0.888
0.500 0.500 0.786
0.000 0.000 0.662
0.668 0.832 0.562
0.668 0.168 0.438
0.168 0.668 0.562
0.686 0.186 0.112
0.186 0.686 0.888
0.832 0.668 0.438
0.500 0.500 0.214
0.814 0.686 0.112
0.500 0.500 0.662
0.332 0.168 0.562
0.500 0.500 0.338
0.686 0.814 0.888
0.332 0.832 0.438
0.814 0.314 0.888
0.000 0.000 0.786
0.000 0.000 0.338
0.314 0.814 0.112
0.186 0.314 0.112
0.832 0.332 0.562
```

## Properties
volume: 1096.3 Å³/cell
symmetry: P4/nbm (125)
total energy: -135.3 eV per cell

***

[13]
Here is CePm12Nd3 after structural relaxation from Alexandria via LeMat-Bulk. Energies are from PBE.

Geometry as POSCAR:
```
CePm12Nd3
1.0
-1.524 -4.267 -2.475
2.018 -2.903 3.762
-17.984 0.572 10.089
Nd Pm Ce
3 12 1
direct
0.000 0.000 0.752
0.000 0.000 0.500
0.000 0.000 0.248
0.000 0.500 0.626
0.000 0.500 0.878
0.500 0.000 0.626
0.500 0.000 0.374
0.000 0.500 0.122
0.500 0.500 0.500
0.500 0.500 0.750
0.500 0.000 0.122
0.500 0.000 0.878
0.500 0.500 0.250
0.000 0.500 0.374
0.500 0.500 0.000
0.000 0.000 0.000
```

## Properties
volume: 549.9 Å³/cell
symmetry: P4/mmm (123)
total energy: -76.8 eV per cell

***

[14]
Here is CePm2Nd3 after structural relaxation from Alexandria via LeMat-Bulk. Energies are from PBE.

Geometry as POSCAR:
```
CePm2Nd3
1.0
-4.005 -7.072 -0.391
-0.742 -7.249 3.620
-8.911 -0.981 7.206
Pm Nd Ce
4 6 2
direct
0.210 0.210 0.123
0.459 0.459 0.879
0.790 0.790 0.877
0.541 0.541 0.121
0.627 0.627 0.372
0.041 0.041 0.628
0.293 0.293 0.370
0.707 0.707 0.630
0.959 0.959 0.372
0.373 0.373 0.628
0.121 0.121 0.879
0.879 0.879 0.121
```

## Properties
volume: 410.3 Å³/cell
symmetry: C2/m (12)
total energy: -58.8 eV per cell

***

[15]
Here is CePmNd after structural relaxation from Alexandria via LeMat-Bulk. Energies are from PBE.

Geometry as POSCAR:
```
CePmNd
1.0
3.510 0.000 0.000
0.000 5.704 0.000
0.000 -2.852 4.940
Ce Nd Pm
1 1 1
direct
0.166 0.333 0.667
0.667 0.667 0.333
0.167 0.000 0.000
```

## Properties
volume: 98.9 Å³/cell
ΔE to the lowest computed polymorph: 0.18 eV/f.u.
symmetry: P-6m2 (187)
total energy: -15.1 eV per cell

***

[16]
Here is CePm4Nd after structural relaxation from Alexandria via LeMat-Bulk. Energies are from PBE.

Geometry as POSCAR:
```
CePm4Nd
1.0
11.854 0.000 0.000
0.000 6.718 0.000
-5.927 -3.359 5.137
Ce Pm Nd
2 8 2
direct
0.500 0.000 0.000
0.500 0.500 0.000
0.827 0.334 0.168
0.171 0.667 0.342
0.829 0.825 0.658
0.173 0.666 0.832
0.341 0.334 0.168
0.829 0.333 0.658
0.171 0.175 0.342
0.659 0.666 0.832
0.500 0.000 0.500
0.000 0.000 0.500
```

## Properties
volume: 409.1 Å³/cell
ΔE to the lowest computed polymorph: 0.19 eV/f.u.
symmetry: Imma (74)
total energy: -56.5 eV per cell

***

[17]
Here is Ce2PmNd after structural relaxation from Alexandria via LeMat-Bulk. Energies are from PBE.

Geometry as POSCAR:
```
Ce2PmNd
1.0
-0.130 4.590 -2.332
-3.598 -1.629 -3.005
-3.416 1.554 3.248
Ce Pm Nd
2 1 1
direct
0.000 0.000 0.500
0.000 0.500 0.000
0.500 0.500 0.500
0.500 0.000 0.000
```

## Properties
volume: 126.8 Å³/cell
ΔE to the lowest computed polymorph: 0.01 eV/f.u.
symmetry: P4/mmm (123)
total energy: -20.9 eV per cell

***

[18]
Here is CePm6Nd3 after structural relaxation from Alexandria via LeMat-Bulk. Energies are from PBE.

Geometry as POSCAR:
```
CePm6Nd3
1.0
8.883 0.000 4.714
3.191 8.290 4.714
2.274 1.562 6.441
Ce Nd Pm
1 3 6
direct
0.901 0.901 0.298
0.401 0.401 0.798
0.144 0.144 0.569
0.657 0.657 0.028
0.074 0.400 0.802
0.900 0.580 0.301
0.219 0.900 0.301
0.724 0.074 0.802
0.400 0.724 0.802
0.580 0.219 0.301
```

## Properties
volume: 343.6 Å³/cell
symmetry: R3 (146)
total energy: -46.3 eV per cell

***

[19]
Here is CePm2Pr6Nd after structural relaxation from Alexandria via LeMat-Bulk. Energies are from PBE.

Geometry as POSCAR:
```
CePm2Pr6Nd
1.0
-5.775 5.515 -4.266
-5.060 -4.909 0.503
1.833 3.743 5.312
Pr Pm Nd Ce
6 2 1 1
direct
0.413 0.624 0.248
0.799 0.413 0.351
0.201 0.587 0.649
0.201 0.062 0.649
0.587 0.376 0.752
0.799 0.938 0.351
0.840 0.910 0.820
0.160 0.090 0.180
0.500 0.000 0.000
0.000 0.500 0.000
```

## Properties
volume: 357.2 Å³/cell
symmetry: C2/m (12)
total energy: -46.7 eV per cell

***

[20]
Here is CePmPrNd after structural relaxation from Alexandria via LeMat-Bulk. Energies are from PBE.

Geometry as POSCAR:
```
CePmPrNd
1.0
5.809 0.000 0.000
2.904 5.031 0.000
2.904 1.677 4.743
Nd Pr Pm Ce
1 1 1 1
direct
0.250 0.250 0.250
0.000 0.000 0.000
0.500 0.500 0.500
0.750 0.750 0.750
```

## Properties
volume: 138.6 Å³/cell
symmetry: F-43m (216)
total energy: -19.4 eV per cell